Compound: TaMoW2
Source: the Alexandria database
Functional: PBE
Structure: optimized geometry

Energy   -12.266 eV/atom
M_tot   0.0 μB/f.u.
ΔE_f   -0.47 eV per formula unit

```
data_TaMoW2
_chemical_formula_sum 'Ta1 Mo1 W2'
_cell_length_a 3.202
_cell_length_b 4.522
_cell_length_c 4.554
_cell_angle_alpha 90.00
_cell_angle_beta 90.00
_cell_angle_gamma 90.00
_symmetry_space_group_name_H-M 'P m m m'
_symmetry_Int_Tables_number 47
_symmetry_space_group_name_Hall '-P 2 2'
loop_
_atom_site_label
_atom_site_type_symbol
_atom_site_fract_x
_atom_site_fract_y
_atom_site_fract_z
Ta1 Ta 0.000 0.000 0.000
Mo1 Mo 0.500 0.500 0.000
W1 W 0.000 0.500 0.500
W2 W 0.500 0.000 0.500
```

Compound: Zr4CuW
Source: the Alexandria database
Functional: PBE
Structure: optimized geometry

Energy   -7.772 eV/atom
M_tot   0.0 μB/f.u.
ΔE_f   4.61 eV per formula unit

```
data_Zr4CuW
_chemical_formula_sum 'Zr16 Cu4 W4'
_cell_length_a 7.919
_cell_length_b 7.919
_cell_length_c 7.919
_cell_angle_alpha 90.00
_cell_angle_beta 90.00
_cell_angle_gamma 90.00
_symmetry_space_group_name_H-M 'F -4 3 m'
_symmetry_Int_Tables_number 216
_symmetry_space_group_name_Hall 'F -4 2 3'
loop_
_atom_site_label
_atom_site_type_symbol
_atom_site_fract_x
_atom_site_fract_y
_atom_site_fract_z
Zr1 Zr 0.123 0.123 0.377
Cu1 Cu 0.000 0.000 0.000
W1 W 0.250 0.250 0.750
```

Compound: RbCoB3
Source: the Alexandria database
Functional: PBE
Structure: optimized geometry

Energy   -1.680 eV/atom
M_tot   0.6 μB/f.u.
ΔE_f   19.71 eV per formula unit

```
data_RbCoB3
_chemical_formula_sum 'Rb1 Co1 B3'
_cell_length_a 4.612
_cell_length_b 4.612
_cell_length_c 4.612
_cell_angle_alpha 90.00
_cell_angle_beta 90.00
_cell_angle_gamma 90.00
_symmetry_space_group_name_H-M 'P m -3 m'
_symmetry_Int_Tables_number 221
_symmetry_space_group_name_Hall '-P 4 2 3'
loop_
_atom_site_label
_atom_site_type_symbol
_atom_site_fract_x
_atom_site_fract_y
_atom_site_fract_z
Rb1 Rb 0.000 0.000 0.000
Co1 Co 0.500 0.500 0.500
B1 B 0.000 0.000 0.500
```